Density functional theory data (GGA-PBE) for a geometry-optimized HfBe5Pd structure.

Cell lengths 4.360, 7.431, 9.259 Å; angles 90.00, 90.00, 90.00 degrees
Atoms (fractional coordinates):
1 Hf 0.250 0.236 0.936
2 Hf 0.750 0.264 0.436
3 Hf 0.250 0.736 0.564
4 Hf 0.750 0.764 0.064
5 Be 0.250 0.576 0.016
6 Be 0.750 0.924 0.516
7 Be 0.250 0.076 0.484
8 Be 0.750 0.424 0.984
9 Be 0.750 0.300 0.756
10 Be 0.250 0.200 0.256
11 Be 0.750 0.800 0.744
12 Be 0.250 0.700 0.244
13 Be 0.250 0.962 0.113
14 Be 0.750 0.538 0.613
15 Be 0.250 0.462 0.387
16 Be 0.750 0.038 0.887
17 Be 0.997 0.441 0.185
18 Be 0.003 0.059 0.685
19 Be 0.503 0.941 0.315
20 Be 0.497 0.559 0.815
21 Be 0.003 0.559 0.815
22 Be 0.997 0.941 0.315
23 Be 0.497 0.059 0.685
24 Be 0.503 0.441 0.185
25 Pd 0.250 0.856 0.864
26 Pd 0.750 0.644 0.364
27 Pd 0.250 0.356 0.636
28 Pd 0.750 0.144 0.136

Computed properties:
E: -5.210 eV/atom
calculated density: 7.31 g cm⁻³
size of the total moment: 0.00 Bohr magnetons per cell
formation energy from the elements: -0.384 eV/atom

=====

Density functional theory data (GGA-PBE) for a geometry-optimized LiPr4Cd structure.

Cell lengths 5.934, 9.027, 8.637 Å; angles 114.04, 99.70, 109.58 degrees
Atoms (fractional coordinates):
1 Li 0.250 0.000 0.000
2 Li 0.750 0.000 0.000
3 Pr 0.066 0.209 0.814
4 Pr 0.758 0.701 0.603
5 Pr 0.248 0.604 0.814
6 Pr 0.345 0.902 0.603
7 Pr 0.655 0.098 0.397
8 Pr 0.752 0.396 0.186
9 Pr 0.242 0.299 0.397
10 Pr 0.934 0.791 0.186
11 Cd 0.358 0.608 0.217
12 Cd 0.642 0.392 0.783

Computed properties:
E: -3.655 eV/atom
calculated density: 6.09 g cm⁻³
size of the total moment: 0.00 Bohr magnetons per cell
formation energy from the elements: 0.003 eV/atom